Entry 1:
VASP calculation (GGA-PBE) on an optimized crystal structure of ZrAg2Os.

a = 2.775 Å, b = 4.579 Å, c = 5.503 Å
α = 90.00°, β = 90.00°, γ = 90.00°
Element x y z (fractional)
Ag 0.000 0.000 0.007
Ag 0.000 0.000 0.493
Os 0.500 0.500 0.250
Zr 0.500 0.500 0.750

Values from the calculation:
- total magnetization (μB/f.u.) = 0.00
- ΔE_f (eV/atom) = 0.28
- energy above the most stable polymorph in this dataset (meV/atom) = 202

***

Entry 2:
VASP calculation (GGA-PBE) on an optimized crystal structure of YTaRe2.

a = 3.059 Å, b = 3.059 Å, c = 8.247 Å
α = 90.00°, β = 90.00°, γ = 90.00°
Element x y z (fractional)
Re 0.000 0.000 0.047
Re 0.500 0.500 0.225
Ta 0.000 0.000 0.451
Y 0.500 0.500 0.777

Values from the calculation:
- total magnetization (μB/f.u.) = 0.00
- ΔE_f (eV/atom) = 0.16

***

Entry 3:
VASP calculation (GGA-PBE) on an optimized crystal structure of U3NbSi6.

a = 7.224 Å, b = 7.224 Å, c = 7.224 Å
α = 96.85°, β = 96.85°, γ = 96.85°
Each line ends with the local moment (μB).
Element x y z (fractional)
U 0.187 0.750 0.313  1.79
U 0.313 0.187 0.750  1.79
U 0.250 0.687 0.813  1.79
U 0.750 0.313 0.187  1.79
U 0.687 0.813 0.250  1.79
U 0.813 0.250 0.687  1.79
Nb 0.000 0.000 0.000  -0.12
Nb 0.500 0.500 0.500  -0.12
Si 0.910 0.627 0.982  -0.01
Si 0.018 0.090 0.373  -0.01
Si 0.127 0.410 0.482  -0.01
Si 0.373 0.018 0.090  -0.01
Si 0.410 0.482 0.127  -0.01
Si 0.518 0.873 0.590  -0.01
Si 0.482 0.127 0.410  -0.01
Si 0.590 0.518 0.873  -0.01
Si 0.627 0.982 0.910  -0.01
Si 0.873 0.590 0.518  -0.01
Si 0.982 0.910 0.627  -0.01
Si 0.090 0.373 0.018  -0.01

Values from the calculation:
- total magnetization (μB/f.u.) = 5.89
- calculated total energy (eV for the cell shown) = -159.63

***

Entry 4:
VASP calculation (GGA-PBE) on an optimized crystal structure of Nd6SmYEr2.

a = 9.712 Å, b = 8.960 Å, c = 8.960 Å
α = 117.60°, β = 93.90°, γ = 93.90°
Element x y z (fractional)
Nd 0.055 0.114 0.759
Nd 0.445 0.241 0.886
Nd 0.945 0.886 0.241
Nd 0.555 0.759 0.114
Nd 0.316 0.988 0.437
Nd 0.184 0.563 0.012
Nd 0.684 0.012 0.563
Nd 0.816 0.437 0.988
Nd 0.119 0.706 0.489
Nd 0.381 0.511 0.294
Nd 0.881 0.294 0.511
Nd 0.619 0.489 0.706
Sm 0.250 0.972 0.028
Sm 0.750 0.028 0.972
Y 0.250 0.410 0.590
Y 0.750 0.590 0.410
Er 0.454 0.799 0.702
Er 0.046 0.298 0.201
Er 0.546 0.201 0.298
Er 0.954 0.702 0.799

Values from the calculation:
- total magnetization (μB/f.u.) = 0.00
- ΔE_f (eV/atom) = 0.11